Entry from Alexandria: a relaxed structure of Rb3PtF (PBE-GGA).

POSCAR file:
```
Rb3PtF
1.0
5.437 0.000 0.000
0.000 5.437 0.000
0.000 0.000 5.437
Rb Pt F
3 1 1
Direct
0.000 0.000 0.500
0.000 0.500 0.000
0.500 0.000 0.000
0.500 0.500 0.500
0.000 0.000 0.000
```

Properties
The uncorrected formation energy comes out at -98 kJ per mole of atoms. The value obtained for the calculated total energy is -3.175 eV/atom. The energy above the most stable polymorph in this dataset is 0.0 meV per atom.

---

Entry from Alexandria: a relaxed structure of LiTcHg2 (PBE-GGA).

POSCAR file:
```
LiTcHg2
1.0
0.000 3.315 3.315
3.315 0.000 3.315
3.315 3.315 0.000
Li Tc Hg
1 1 2
Direct
0.000 0.000 0.000
0.500 0.500 0.500
0.250 0.250 0.250
0.750 0.750 0.750
```

Properties
The value obtained for the calculated total energy is -2.904 eV/atom. The formation energy comes out at 7.3 kcal/mol of atoms. The energy above the most stable polymorph in this dataset is 158.1 meV per atom.

---

Entry from Alexandria: a relaxed structure of RbTl12Pb4 (PBE-GGA).

POSCAR file:
```
RbTl12Pb4
1.0
-5.433 5.433 5.433
5.433 -5.433 5.433
5.433 5.433 -5.433
Rb Tl Pb
1 12 4
Direct
0.000 0.000 0.000
0.148 0.504 0.355
0.148 0.793 0.645
0.207 0.355 0.852
0.355 0.148 0.504
0.355 0.852 0.207
0.496 0.645 0.852
0.504 0.355 0.148
0.645 0.148 0.793
0.645 0.852 0.496
0.793 0.645 0.148
0.852 0.207 0.355
0.852 0.496 0.645
0.000 0.000 0.500
0.000 0.500 0.000
0.500 0.000 0.000
0.500 0.500 0.500
```

Properties
The value obtained for the calculated total energy is -2.456 eV/atom. The formation energy comes out at 3.3 kcal/mol of atoms.

---

Copy entry 2 word for word.
Entry from Alexandria: a relaxed structure of LiTcHg2 (PBE-GGA).

POSCAR file:
```
LiTcHg2
1.0
0.000 3.315 3.315
3.315 0.000 3.315
3.315 3.315 0.000
Li Tc Hg
1 1 2
Direct
0.000 0.000 0.000
0.500 0.500 0.500
0.250 0.250 0.250
0.750 0.750 0.750
```

Properties
The value obtained for the calculated total energy is -2.904 eV/atom. The formation energy comes out at 7.3 kcal/mol of atoms. The energy above the most stable polymorph in this dataset is 158.1 meV per atom.

---

What did the second record say?
Entry from Alexandria: a relaxed structure of LiTcHg2 (PBE-GGA).

POSCAR file:
```
LiTcHg2
1.0
0.000 3.315 3.315
3.315 0.000 3.315
3.315 3.315 0.000
Li Tc Hg
1 1 2
Direct
0.000 0.000 0.000
0.500 0.500 0.500
0.250 0.250 0.250
0.750 0.750 0.750
```

Properties
The value obtained for the calculated total energy is -2.904 eV/atom. The formation energy comes out at 7.3 kcal/mol of atoms. The energy above the most stable polymorph in this dataset is 158.1 meV per atom.

---

Question: Among the records above, which one has the lowest calculated total energy?
Answer: Rb3PtF

---

Question: Look up the calculated total energy of the third one.
Answer: -2.456 eV/atom